# MnNb3O6

Crystalline MnNb3O6 at its relaxed geometry (PBE with a Hubbard U, Alexandria via LeMat-Bulk).

Results
* crystal system: orthorhombic
* Fermi-level density of states: 4.3 states/eV/f.u.
* E_tot: -8.952 eV per atom
* density: 5.8 g/cm³
* volume: 489.1 Å³/cell

abc: 6.6271 7.1695 10.2948
angles: 90.00 90.00 90.00
Space group Immm (No. 71)
One atom of each set of equivalent atoms:
Mn  0.2472  0.0000  0.0000 x4
Nb  0.0000  0.2213  0.2779 x8
Nb  0.1984  0.0000  0.5000 x4
O  0.0000  0.0000  0.1500 x4
O  0.0000  0.5000  0.3548 x4
O  0.2233  0.3041  0.1342 x16